First-principles (PBE+U) data for a relaxed Sr6MgW4O18 crystal, as listed in Alexandria via LeMat-Bulk.

Cell lengths 6.8742, 7.3967, 9.4761 Å; angles 76.83, 78.64, 87.79 degrees
Closest atoms and distances in Å follow each position.
Sites, in units of the cell vectors:
Sr 0.0000 0.0000 0.0000  6 O 2.51-2.76
Sr 0.0932 0.9126 0.5626  6 O 2.43-2.63
Sr 0.3166 0.3098 0.2440  6 O 2.41-2.64
Sr 0.5174 0.1996 0.8410  6 O 2.45-2.62
Sr 0.6542 0.6998 0.8541  3 O 2.38-2.56
Sr 0.8152 0.4869 0.3197  6 O 2.49-2.73
Mg 0.4289 0.5721 0.6065  5 O 1.99-2.16
W 0.0984 0.4718 0.8831  3 O 1.85-1.99
W 0.4035 0.7671 0.1938  4 O 1.83-2.01
W 0.6108 0.9338 0.3873  4 O 1.81-2.00
W 0.9508 0.3132 0.6626  6 O 1.92-2.15
O 0.0565 0.2722 0.4687  1 W 1.92
O 0.1078 0.5633 0.6506  2 W 2.14-2.15, 1 Mg 2.16
O 0.1210 0.2890 0.0636  1 W 1.95
O 0.1656 0.6436 0.2403  1 W 1.83
O 0.1751 0.2305 0.7746  2 W 2.04-2.25
O 0.3255 0.9628 0.3107  2 W 2.01-2.21
O 0.3850 0.9055 0.0049  1 W 1.87
O 0.3906 0.5153 0.8311  1 W 1.99, 1 Mg 2.04
O 0.4639 0.8607 0.5845  1 W 1.91, 1 Mg 2.12
O 0.5043 0.6572 0.3880  1 Mg 1.99, 2 W 2.07-2.20
O 0.5600 0.5765 0.1272  1 W 1.89
O 0.6182 0.1877 0.3581  1 W 1.84
O 0.6775 0.9138 0.1763  2 W 2.00-2.17
O 0.7048 0.4259 0.6025  1 W 1.98, 1 Mg 2.14
O 0.8255 0.3654 0.8764  2 W 2.08-2.15
O 0.8401 0.0514 0.7489  1 W 2.04
O 0.8532 0.8552 0.4212  1 W 1.81
O 0.9952 0.6918 0.9265  1 W 1.85

Results
SG: P1
Polymorph energy (0 for the lowest one): 0.018 eV/atom
Density: 5.68 g/cm3